## Nb2HgOs2 (GGA-PBE)

Data for a relaxed Nb2HgOs2 crystal.

The space group is P4/mbm (No. 127) and the conventional cell measures 7.666, 7.666 and 3.030 Å, with angles of 90.00, 90.00 and 90.00 degrees. The asymmetric unit holds Nb at (0.156, 0.344, 0.000), Hg at (0.000, 0.000, 0.500) and Os at (0.137, 0.637, 0.500).

The energy relative to the elements is 0.08 eV/atom.